Here is ReMo2Ru at its PBEsol-relaxed geometry from Alexandria via LeMat-Bulk. Energies are from SCAN.

POSCAR file:
```
ReMo2Ru
1.0
3.060 0.000 0.000
0.000 4.359 0.000
0.000 0.000 4.405
Mo Re Ru
2 1 1
direct
0.000 0.000 0.000 Mo
0.500 0.000 0.500 Mo
0.500 0.500 0.000 Re
0.000 0.500 0.500 Ru
```

Summary:
- M_tot (μB per formula unit) = 0.00
- ΔE_f (meV/atom) = 202